Entry 1:
The following is a meta-GGA SCAN calculation of KAgSe2 at its PBEsol-relaxed geometry, from Alexandria.

Values from the calculation:
* VASP energy: -81.52 eV per cell
* raw formation energy: -161 kJ/mol of formula units
* crystal system: orthorhombic

POSCAR file:
```
KAgSe2
1.0
2.856 0.000 0.000
0.000 5.599 0.000
0.000 0.000 5.599
K Ag Se
1 1 2
direct
0.000 0.000 0.000 K
0.500 0.500 0.499 Ag
0.500 0.000 0.500 Se
0.500 0.500 0.999 Se
```

=====

Entry 2:
The following is a meta-GGA SCAN calculation of KAgSe3 at its PBEsol-relaxed geometry, from Alexandria.

Values from the calculation:
* VASP energy: -100.42 eV per cell
* raw formation energy: -47 kJ/mol of formula units
* crystal system: cubic

POSCAR file:
```
KAgSe3
1.0
5.095 0.000 0.000
0.000 5.095 0.000
0.000 0.000 5.095
K Ag Se
1 1 3
direct
0.000 0.000 0.000 K
0.500 0.500 0.500 Ag
0.000 0.500 0.500 Se
0.500 0.000 0.500 Se
0.500 0.500 0.000 Se
```

=====

Entry 3:
The following is a meta-GGA SCAN calculation of KAgSe2 at its PBEsol-relaxed geometry, from Alexandria.

Values from the calculation:
* VASP energy: -82.03 eV per cell
* raw formation energy: -210 kJ/mol of formula units
* crystal system: monoclinic

POSCAR file:
```
KAgSe2
1.0
5.465 -1.943 0.000
5.465 1.943 0.000
-4.776 0.000 5.644
K Ag Se
1 1 2
direct
0.000 0.000 0.000 K
0.000 0.000 0.500 Ag
0.371 0.371 0.218 Se
0.629 0.629 0.782 Se
```